Below is a PBEsol-optimized structure of MoPtW2N, with properties calculated at the meta-GGA SCAN level.

Calculated values
V: 20.8 Å³/atom
E_form (uncorrected): 3.159 eV per atom
DFT total energy: -47.590 eV/atom
Total moment: 0.085 μB per atom
DOS(E_F): 4.111 states/eV/f.u.

Structure (CIF):
```
data_MoPtW2N
_cell_length_a 4.712
_cell_length_b 4.712
_cell_length_c 4.693
_cell_angle_alpha 90.00
_cell_angle_beta 90.00
_cell_angle_gamma 90.00
_space_group_name_H-M_alt 'P 4/m m m'
_space_group_IT_number 123
_space_group_name_Hall '-P 4 2'
loop_
_atom_site_label
_atom_site_type_symbol
_atom_site_fract_x
_atom_site_fract_y
_atom_site_fract_z
Mo1 Mo 0.000 0.000 0.000
Pt1 Pt 0.000 0.000 0.500
W1 W 0.000 0.500 0.500
N1 N 0.500 0.500 0.000
```